1.
Crystalline LiVN2 at its relaxed geometry. Source: Alexandria, functional PBE.

a = 5.4708 Å, b = 6.6530 Å, c = 5.0839 Å
α = 90.00°, β = 90.00°, γ = 90.00°
Last column: nearest neighbours and their distance in Å.
Element x y z (fractional)
Li 0.0823 0.1229 0.0000  4 N 2.11-2.17
Li 0.4177 0.6229 0.5000  4 N 2.11-2.17
Li 0.5823 0.3771 0.0000  4 N 2.11-2.17
Li 0.9177 0.8771 0.5000  4 N 2.11-2.17
V 0.0739 0.6253 0.0129  4 N 1.81-1.82
V 0.4261 0.1253 0.5129  4 N 1.81-1.82
V 0.5739 0.8747 0.0129  4 N 1.81-1.82
V 0.9261 0.3747 0.5129  4 N 1.81-1.82
N 0.0538 0.5993 0.3660  2 V 1.81
N 0.1055 0.1545 0.4245  2 V 1.82
N 0.3945 0.6545 0.9245  2 V 1.82
N 0.4462 0.0993 0.8660  2 V 1.81
N 0.5538 0.9007 0.3660  2 V 1.81
N 0.6055 0.3455 0.4245  2 V 1.82
N 0.8945 0.8455 0.9245  2 V 1.82
N 0.9462 0.4007 0.8660  2 V 1.81

Space-group type: Pna2_1

***

2.
Crystalline LiVN3 at its relaxed geometry. Source: Alexandria, functional PBE.

a = 3.4813 Å, b = 3.4813 Å, c = 3.4813 Å
α = 90.00°, β = 90.00°, γ = 90.00°
Last column: nearest neighbours and their distance in Å.
Element x y z (fractional)
Li 0.0000 0.0000 0.0000  6 N 1.74
V 0.5000 0.5000 0.5000  12 N 2.46
N 0.0000 0.0000 0.5000  2 Li 1.74
N 0.0000 0.5000 0.0000  2 Li 1.74
N 0.5000 0.0000 0.0000  2 Li 1.74

Space-group type: Pm-3m
DOS(E_F): 4.56 states/eV/f.u.

***

3.
Crystalline Li6VN4 at its relaxed geometry. Source: Alexandria, functional PBE.

a = 6.5849 Å, b = 6.5849 Å, c = 4.9295 Å
α = 90.00°, β = 90.00°, γ = 90.00°
Last column: nearest neighbours and their distance in Å.
Element x y z (fractional)
Li 0.0385 0.5385 0.2500  4 N 2.07-2.15
Li 0.0385 0.9615 0.2500  4 N 2.07-2.15
Li 0.2500 0.2500 0.1569  4 N 2.02-2.22
Li 0.2500 0.2500 0.6569  4 N 2.02-2.22
Li 0.4615 0.5385 0.2500  4 N 2.07-2.15
Li 0.4615 0.9615 0.2500  4 N 2.07-2.15
Li 0.5385 0.0385 0.7500  4 N 2.07-2.15
Li 0.5385 0.4615 0.7500  4 N 2.07-2.15
Li 0.7500 0.7500 0.3431  4 N 2.02-2.22
Li 0.7500 0.7500 0.8431  4 N 2.02-2.22
Li 0.9615 0.0385 0.7500  4 N 2.07-2.15
Li 0.9615 0.4615 0.7500  4 N 2.07-2.15
V 0.2500 0.7500 0.7500  4 N 1.83
V 0.7500 0.2500 0.2500  4 N 1.83
N 0.0116 0.7500 0.5589  1 V 1.83, 1 Li 2.02
N 0.2500 0.5116 0.9411  1 V 1.83, 1 Li 2.02
N 0.2500 0.9884 0.9411  1 V 1.83, 1 Li 2.02
N 0.4884 0.7500 0.5589  1 V 1.83, 1 Li 2.02
N 0.5116 0.2500 0.4411  1 V 1.83, 1 Li 2.02
N 0.7500 0.0116 0.0589  1 V 1.83, 1 Li 2.02
N 0.7500 0.4884 0.0589  1 V 1.83, 1 Li 2.02
N 0.9884 0.2500 0.4411  1 V 1.83, 1 Li 2.02

Space-group type: P4_2/nmc
DOS(E_F): 5.68 states/eV/f.u.

***

no.,theoretical density (g/cm³),ΔE_f (raw) (eV/atom)
1,3.1,-0.8395
2,3.9,1.5618
3,2.3,-0.6710